## Nb4ZnAuC2 (PBE)

Data for a relaxed structure of Nb4ZnAuC2.

final energy: -8.289 eV/atom

CIF file:
```
data_Nb4ZnAuC2
_symmetry_space_group_name_H-M 'P -6 m 2'
_symmetry_Int_Tables_number 187
_symmetry_space_group_name_Hall 'P -6 2'
_cell_length_a 3.1639
_cell_length_b 3.1639
_cell_length_c 13.8694
_cell_angle_alpha 90.00
_cell_angle_beta 90.00
_cell_angle_gamma 120.00
loop_
_atom_site_label
_atom_site_fract_x
_atom_site_fract_y
_atom_site_fract_z
Nb1 0.0000 0.0000 0.1609
Nb2 0.3333 0.6667 0.3345
Zn1 0.3333 0.6667 0.0000
Au1 0.0000 0.0000 0.5000
C1 0.6667 0.3333 0.2472
```